First-principles (PBE) data for an optimized crystal structure of CaCuRe, as listed in Alexandria via LeMat-Bulk.

Unit cell a=2.7743 b=2.7743 c=13.4396 alpha=90.00 beta=90.00 gamma=90.00
Space group I4mm (No. 107)
Inequivalent atoms, fractional coordinates:
Ca: 0.0000 0.0000 0.0000 [2 per cell]
Cu: 0.0000 0.0000 0.3184 [2 per cell]
Re: 0.0000 0.0000 0.6826 [2 per cell]

Summary:
Energy of formation ... 0.5625 eV per atom
Crystal system ... tetragonal
M_tot ... 0.0 μB per cell
Uncorrected energy ... -5.619 eV per atom

***

First-principles (PBE) data for an optimized crystal structure of CaCu2Re, as listed in Alexandria via LeMat-Bulk.

Unit cell a=2.7077 b=4.8302 c=9.7801 alpha=90.00 beta=90.00 gamma=90.00
Space group Imm2 (No. 44)
Inequivalent atoms, fractional coordinates:
Ca: 0.0000 0.0000 0.0000 [2 per cell]
Cu: 0.0000 0.0000 0.5182 [2 per cell]
Cu: 0.0000 0.5000 0.2328 [2 per cell]
Re: 0.0000 0.5000 0.7862 [2 per cell]

Summary:
Energy of formation ... 0.4764 eV per atom
Crystal system ... orthorhombic
M_tot ... 0.0 μB per cell
Uncorrected energy ... -5.184 eV per atom

***

First-principles (PBE) data for an optimized crystal structure of CaCu2Re, as listed in Alexandria via LeMat-Bulk.

Unit cell a=2.8343 b=2.8343 c=8.0407 alpha=90.00 beta=90.00 gamma=90.00
Space group P4/mmm (No. 123)
Inequivalent atoms, fractional coordinates:
Ca: 0.0000 0.0000 0.0000 [1 per cell]
Cu: 0.5000 0.5000 0.2842 [2 per cell]
Re: 0.0000 0.0000 0.5000 [1 per cell]

Summary:
Energy of formation ... 0.4684 eV per atom
Crystal system ... tetragonal
M_tot ... 0.0 μB per cell
Uncorrected energy ... -5.192 eV per atom

***

First-principles (PBE) data for an optimized crystal structure of CaCu2ReS, as listed in Alexandria via LeMat-Bulk.

Unit cell a=4.3787 b=4.3787 c=5.1841 alpha=90.00 beta=90.00 gamma=90.00
Space group P4/mmm (No. 123)
Inequivalent atoms, fractional coordinates:
Ca: 0.0000 0.0000 0.0000 [1 per cell]
Cu: 0.0000 0.5000 0.5000 [2 per cell]
Re: 0.5000 0.5000 0.0000 [1 per cell]
S: 0.0000 0.0000 0.5000 [1 per cell]

Summary:
Crystal system ... tetragonal
M_tot ... 3.1 μB per cell
Uncorrected energy ... -4.565 eV per atom
Formation energy from raw total energies ... 381 kJ/mol of formula units

***

First-principles (PBE) data for an optimized crystal structure of CaTa2CuRe, as listed in Alexandria via LeMat-Bulk.

Unit cell a=4.7242 b=4.7242 c=4.2661 alpha=90.00 beta=90.00 gamma=90.00
Space group P4/mmm (No. 123)
Inequivalent atoms, fractional coordinates:
Ca: 0.0000 0.0000 0.0000 [1 per cell]
Ta: 0.0000 0.5000 0.0000 [2 per cell]
Cu: 0.0000 0.0000 0.5000 [1 per cell]
Re: 0.5000 0.5000 0.5000 [1 per cell]

Summary:
Energy of formation ... 2.5761 eV per atom
Crystal system ... tetragonal
M_tot ... 0.0 μB per cell
Uncorrected energy ... -5.874 eV per atom

***

First-principles (PBE) data for an optimized crystal structure of CaCuRe2W, as listed in Alexandria via LeMat-Bulk.

Unit cell a=4.5537 b=4.5537 c=4.6250 alpha=90.00 beta=90.00 gamma=90.00
Space group P4/mmm (No. 123)
Inequivalent atoms, fractional coordinates:
Ca: 0.0000 0.0000 0.0000 [1 per cell]
Cu: 0.5000 0.5000 0.5000 [1 per cell]
Re: 0.0000 0.5000 0.0000 [2 per cell]
W: 0.0000 0.0000 0.5000 [1 per cell]

Summary:
Energy of formation ... 3.3450 eV per atom
Crystal system ... tetragonal
M_tot ... 0.0 μB per cell
Uncorrected energy ... -5.444 eV per atom

***

First-principles (PBE) data for an optimized crystal structure of CaCuRh, as listed in Alexandria via LeMat-Bulk.

Unit cell a=11.1182 b=4.5608 c=5.2456 alpha=90.00 beta=117.68 gamma=90.00
Space group C2/c (No. 15)
Inequivalent atoms, fractional coordinates:
Ca: 0.2500 0.2500 0.0000 [4 per cell]
Cu: 0.0000 0.0241 0.2500 [4 per cell]
Rh: 0.0000 0.5000 0.0000 [4 per cell]

Summary:
Energy of formation ... -0.1382 eV per atom
Crystal system ... monoclinic
M_tot ... 0.7 μB per cell
Uncorrected energy ... -4.621 eV per atom

***

First-principles (PBE) data for an optimized crystal structure of CaCu3Rh, as listed in Alexandria via LeMat-Bulk.

Unit cell a=4.6880 b=4.6880 c=4.6880 alpha=90.00 beta=90.00 gamma=90.00
Space group Pm-3m (No. 221)
Inequivalent atoms, fractional coordinates:
Ca: 0.0000 0.0000 0.0000 [1 per cell]
Cu: 0.0000 0.5000 0.5000 [3 per cell]
Rh: 0.5000 0.5000 0.5000 [1 per cell]

Summary:
Energy of formation ... 0.3294 eV per atom
Crystal system ... cubic
M_tot ... 0.0 μB per cell
Uncorrected energy ... -3.999 eV per atom